# 1
## LiEr2MgAu4 (GGA-PBE)

Data for an optimized crystal structure of LiEr2MgAu4.

a = 4.856 Å, b = 4.856 Å, c = 8.395 Å
α = 73.19°, β = 73.19°, γ = 60.00°
Fractional positions:
Li (0.500, 0.500, 0.500)
Er (0.751, 0.751, 0.746)
Er (0.249, 0.249, 0.254)
Mg (0.000, 0.000, 0.000)
Au (0.375, 0.375, 0.876)
Au (0.875, 0.875, 0.374)
Au (0.125, 0.125, 0.626)
Au (0.625, 0.625, 0.124)

- Magnetic moment: 0.00 μB per atom
- Energy of formation from the pure elements: -580 kJ/mol of formula units
- Final energy: -31.76 eV per cell
- Fermi-level density of states: 0.6930 states/eV/atom



# 2
## LiErMgAu (GGA-PBE)

Data for an optimized crystal structure of LiErMgAu.

a = 4.855 Å, b = 4.855 Å, c = 4.855 Å
α = 60.00°, β = 60.00°, γ = 60.00°
Fractional positions:
Mg (0.250, 0.250, 0.250)
Li (0.500, 0.500, 0.500)
Au (0.000, 0.000, 0.000)
Er (0.750, 0.750, 0.750)

- Magnetic moment: 0.00 μB per atom
- Energy of formation from the pure elements: -182 kJ/mol of formula units
- Final energy: -13.24 eV per cell
- Fermi-level density of states: 1.3702 states/eV/atom



# 3
## Li2ErMgAu2 (GGA-PBE)

Data for an optimized crystal structure of Li2ErMgAu2.

a = 4.501 Å, b = 4.501 Å, c = 6.496 Å
α = 90.00°, β = 90.00°, γ = 120.00°
Fractional positions:
Li (0.333, 0.667, 0.683)
Li (0.667, 0.333, 0.317)
Er (0.000, 0.000, 0.000)
Mg (0.000, 0.000, 0.500)
Au (0.333, 0.667, 0.258)
Au (0.667, 0.333, 0.742)

- Magnetic moment: 0.00 μB per atom
- Energy of formation from the pure elements: -318 kJ/mol of formula units
- Final energy: -19.83 eV per cell
- Fermi-level density of states: 0.4144 states/eV/atom



# 4
## LiErMg2Au4 (GGA-PBE)

Data for an optimized crystal structure of LiErMg2Au4.

a = 4.692 Å, b = 4.692 Å, c = 8.393 Å
α = 73.77°, β = 73.77°, γ = 60.00°
Fractional positions:
Li (0.500, 0.500, 0.500)
Er (0.000, 0.000, 0.000)
Mg (0.756, 0.756, 0.732)
Mg (0.244, 0.244, 0.268)
Au (0.386, 0.386, 0.842)
Au (0.874, 0.874, 0.378)
Au (0.126, 0.126, 0.622)
Au (0.614, 0.614, 0.158)

- Magnetic moment: 0.00 μB per atom
- Energy of formation from the pure elements: -514 kJ/mol of formula units
- Final energy: -28.11 eV per cell
- Fermi-level density of states: 0.5089 states/eV/atom



# 5
## Li2NdErAu4 (GGA-PBE)

Data for an optimized crystal structure of Li2NdErAu4.

a = 4.920 Å, b = 4.920 Å, c = 8.483 Å
α = 73.14°, β = 73.14°, γ = 60.00°
Fractional positions:
Li (0.752, 0.752, 0.745)
Li (0.248, 0.248, 0.255)
Nd (0.000, 0.000, 0.000)
Er (0.500, 0.500, 0.500)
Au (0.378, 0.378, 0.865)
Au (0.871, 0.871, 0.388)
Au (0.129, 0.129, 0.612)
Au (0.622, 0.622, 0.135)

- Magnetic moment: 0.00 μB per atom
- Energy of formation from the pure elements: -531 kJ/mol of formula units
- Final energy: -31.77 eV per cell
- Fermi-level density of states: 0.7031 states/eV/atom



# 6
## LiErNiAu (GGA-PBE)

Data for an optimized crystal structure of LiErNiAu.

a = 4.671 Å, b = 4.671 Å, c = 4.671 Å
α = 60.00°, β = 60.00°, γ = 60.00°
Fractional positions:
Ni (0.000, 0.000, 0.000)
Li (0.250, 0.250, 0.250)
Au (0.500, 0.500, 0.500)
Er (0.750, 0.750, 0.750)

- Magnetic moment: 0.00 μB per atom
- Energy of formation from the pure elements: -158 kJ/mol of formula units
- Final energy: -17.18 eV per cell
- Fermi-level density of states: 0.5959 states/eV/atom



# 7
## Li3Er2AuO6 (GGA-PBE)

Data for an optimized crystal structure of Li3Er2AuO6.

a = 5.667 Å, b = 5.667 Å, c = 5.881 Å
α = 105.00°, β = 105.00°, γ = 114.72°
Fractional positions:
Li (0.125, 0.875, 0.500)
Li (0.875, 0.125, 0.500)
Li (0.500, 0.500, 0.500)
Er (0.336, 0.664, 0.000)
Er (0.664, 0.336, 0.000)
Au (0.000, 0.000, 0.000)
O (0.899, 0.587, 0.792)
O (0.721, 0.721, 0.284)
O (0.101, 0.413, 0.208)
O (0.587, 0.899, 0.792)
O (0.279, 0.279, 0.716)
O (0.413, 0.101, 0.208)

- Magnetic moment: 0.00 μB per atom
- Final energy: -73.85 eV per cell
- Formation energy (no corrections): -2163 meV/atom



# 8
## Li2ErAuO4 (GGA-PBE)

Data for an optimized crystal structure of Li2ErAuO4.

a = 6.078 Å, b = 6.078 Å, c = 6.885 Å
α = 117.52°, β = 117.52°, γ = 89.00°
Fractional positions:
Li (0.500, 0.000, 0.000)
Li (0.500, 0.000, 0.500)
Li (0.000, 0.000, 0.500)
Li (0.500, 0.500, 0.000)
Er (0.000, 0.500, 0.000)
Er (0.000, 0.500, 0.500)
Au (0.500, 0.500, 0.500)
Au (0.000, 0.000, 0.000)
O (0.214, 0.737, 0.939)
O (0.763, 0.286, 0.561)
O (0.237, 0.714, 0.439)
O (0.786, 0.263, 0.061)
O (0.812, 0.825, 0.097)
O (0.675, 0.688, 0.403)
O (0.325, 0.312, 0.597)
O (0.188, 0.175, 0.903)

- Magnetic moment: 0.00 μB per atom
- Final energy: -92.67 eV per cell
- Formation energy (no corrections): -1855 meV/atom



# 9
## LiErPbAu (GGA-PBE)

Data for an optimized crystal structure of LiErPbAu.

a = 5.002 Å, b = 5.002 Å, c = 5.002 Å
α = 60.00°, β = 60.00°, γ = 60.00°
Fractional positions:
Pb (0.500, 0.500, 0.500)
Li (0.250, 0.250, 0.250)
Au (0.000, 0.000, 0.000)
Er (0.750, 0.750, 0.750)

- Magnetic moment: 0.00 μB per atom
- Energy of formation from the pure elements: -205 kJ/mol of formula units
- Final energy: -15.59 eV per cell
- Fermi-level density of states: 0.7540 states/eV/atom



# 10
## LiErPdAu (GGA-PBE)

Data for an optimized crystal structure of LiErPdAu.

a = 4.754 Å, b = 4.754 Å, c = 4.754 Å
α = 60.00°, β = 60.00°, γ = 60.00°
Fractional positions:
Li (0.250, 0.250, 0.250)
Au (0.000, 0.000, 0.000)
Pd (0.500, 0.500, 0.500)
Er (0.750, 0.750, 0.750)

- Magnetic moment: 0.00 μB per atom
- Energy of formation from the pure elements: -276 kJ/mol of formula units
- Final energy: -17.80 eV per cell
- Polymorph energy (0 for the lowest one): 1.8 kJ per mole of atoms
- Fermi-level density of states: 0.4891 states/eV/atom



# 11
## LiErPdAu (GGA-PBE)

Data for an optimized crystal structure of LiErPdAu.

a = 3.397 Å, b = 3.397 Å, c = 6.391 Å
α = 90.00°, β = 90.00°, γ = 90.00°
Fractional positions:
Li (0.000, 0.000, 0.360)
Er (0.000, 0.000, 0.844)
Pd (0.500, 0.500, 0.586)
Au (0.500, 0.500, 0.138)

- Magnetic moment: 0.00 μB per atom
- Energy of formation from the pure elements: -283 kJ/mol of formula units
- Final energy: -17.88 eV per cell
- Polymorph energy (0 for the lowest one): 0.0 kJ per mole of atoms
- Fermi-level density of states: 0.3036 states/eV/atom



# 12
## Li2PmErAu4 (GGA-PBE)

Data for an optimized crystal structure of Li2PmErAu4.

a = 4.953 Å, b = 4.953 Å, c = 8.318 Å
α = 72.68°, β = 72.68°, γ = 60.00°
Fractional positions:
Li (0.750, 0.750, 0.749)
Li (0.250, 0.250, 0.251)
Pm (0.000, 0.000, 0.000)
Er (0.500, 0.500, 0.500)
Au (0.375, 0.375, 0.876)
Au (0.869, 0.869, 0.394)
Au (0.131, 0.131, 0.606)
Au (0.625, 0.625, 0.124)

- Magnetic moment: 0.00 μB per atom
- Energy of formation from the pure elements: -537 kJ/mol of formula units
- Final energy: -31.82 eV per cell
- Fermi-level density of states: 0.6175 states/eV/atom



- Which formula does entry 11 have?
  LiErPdAu



- Which of these has the highest final energy?
  LiErMgAu



Copy entry 12 word for word.
## Li2PmErAu4 (GGA-PBE)

Data for an optimized crystal structure of Li2PmErAu4.

a = 4.953 Å, b = 4.953 Å, c = 8.318 Å
α = 72.68°, β = 72.68°, γ = 60.00°
Fractional positions:
Li (0.750, 0.750, 0.749)
Li (0.250, 0.250, 0.251)
Pm (0.000, 0.000, 0.000)
Er (0.500, 0.500, 0.500)
Au (0.375, 0.375, 0.876)
Au (0.869, 0.869, 0.394)
Au (0.131, 0.131, 0.606)
Au (0.625, 0.625, 0.124)

- Magnetic moment: 0.00 μB per atom
- Energy of formation from the pure elements: -537 kJ/mol of formula units
- Final energy: -31.82 eV per cell
- Fermi-level density of states: 0.6175 states/eV/atom



- What is the formula in the eighth record?
  Li2ErAuO4